A relaxed Ti4NbIr2 crystal. Source: the Alexandria database, functional PBE.

Structure (CIF):
```
data_Ti4NbIr2
_space_group_name_H-M_alt 'P 1'
_space_group_IT_number 1
_cell_length_a 7.2033
_cell_length_b 7.2033
_cell_length_c 7.2033
_cell_angle_alpha 142.79
_cell_angle_beta 142.79
_cell_angle_gamma 53.64
loop_
_space_group_symop_operation_xyz
'x,y,z'
loop_
_atom_site_label
_atom_site_type_symbol
_atom_site_fract_x
_atom_site_fract_y
_atom_site_fract_z
Ti1 Ti 0.0000 0.5000 0.5000
Ti2 Ti 0.1990 0.1990 0.0000
Ti3 Ti 0.5000 0.0000 0.5000
Ti4 Ti 0.8010 0.8010 0.0000
Nb1 Nb 0.0000 0.0000 0.0000
Ir1 Ir 0.3826 0.3826 0.0000
Ir2 Ir 0.6174 0.6174 0.0000
```

## Properties
Polymorph energy (0 for the lowest one)   913 meV/atom

---

A relaxed CsK2RbCl crystal. Source: the Alexandria database, functional PBE.

Structure (CIF):
```
data_CsK2RbCl
_space_group_name_H-M_alt 'P 1'
_space_group_IT_number 1
_cell_length_a 6.6976
_cell_length_b 6.6976
_cell_length_c 7.1661
_cell_angle_alpha 90.00
_cell_angle_beta 90.00
_cell_angle_gamma 90.00
loop_
_space_group_symop_operation_xyz
'x,y,z'
loop_
_atom_site_label
_atom_site_type_symbol
_atom_site_fract_x
_atom_site_fract_y
_atom_site_fract_z
Cs1 Cs 0.0000 0.0000 0.0000
K1 K 0.0000 0.5000 0.5000
K2 K 0.5000 0.0000 0.5000
Rb1 Rb 0.5000 0.5000 0.0000
Cl1 Cl 0.0000 0.0000 0.5000
```

## Properties
Polymorph energy (0 for the lowest one)   0 meV/atom
Raw formation energy   -0.70 eV per atom

---

A relaxed NpGaSn2 crystal. Source: the Alexandria database, functional PBE.

Structure (CIF):
```
data_NpGaSn2
_space_group_name_H-M_alt 'P 1'
_space_group_IT_number 1
_cell_length_a 7.2216
_cell_length_b 7.2216
_cell_length_c 7.2216
_cell_angle_alpha 34.87
_cell_angle_beta 34.87
_cell_angle_gamma 34.87
loop_
_space_group_symop_operation_xyz
'x,y,z'
loop_
_atom_site_label
_atom_site_type_symbol
_atom_site_fract_x
_atom_site_fract_y
_atom_site_fract_z
Np1 Np 0.0000 0.0000 0.0000
Ga1 Ga 0.1673 0.1673 0.1673
Sn1 Sn 0.4251 0.4251 0.4251
Sn2 Sn 0.5721 0.5721 0.5721
```

## Properties
Polymorph energy (0 for the lowest one)   421 meV/atom

---

A relaxed Ti12TlSn3 crystal. Source: the Alexandria database, functional PBE.

Structure (CIF):
```
data_Ti12TlSn3
_space_group_name_H-M_alt 'P 1'
_space_group_IT_number 1
_cell_length_a 5.2375
_cell_length_b 5.2384
_cell_length_c 10.4909
_cell_angle_alpha 90.00
_cell_angle_beta 90.00
_cell_angle_gamma 90.00
loop_
_space_group_symop_operation_xyz
'x,y,z'
loop_
_atom_site_label
_atom_site_type_symbol
_atom_site_fract_x
_atom_site_fract_y
_atom_site_fract_z
Ti1 Ti 0.0000 0.0000 0.1233
Ti2 Ti 0.0000 0.0000 0.3734
Ti3 Ti 0.0000 0.0000 0.6266
Ti4 Ti 0.0000 0.0000 0.8767
Ti5 Ti 0.2498 0.5000 0.2515
Ti6 Ti 0.2498 0.5000 0.7485
Ti7 Ti 0.5000 0.2493 0.0000
Ti8 Ti 0.5000 0.2501 0.5000
Ti9 Ti 0.5000 0.7499 0.5000
Ti10 Ti 0.5000 0.7507 0.0000
Ti11 Ti 0.7502 0.5000 0.2515
Ti12 Ti 0.7502 0.5000 0.7485
Tl1 Tl 0.0000 0.5000 0.0000
Sn1 Sn 0.0000 0.5000 0.5000
Sn2 Sn 0.5000 0.0000 0.2503
Sn3 Sn 0.5000 0.0000 0.7497
```

---

A relaxed Ag2IrBr crystal. Source: the Alexandria database, functional PBE.

Structure (CIF):
```
data_Ag2IrBr
_space_group_name_H-M_alt 'P 1'
_space_group_IT_number 1
_cell_length_a 5.1412
_cell_length_b 5.1412
_cell_length_c 5.1412
_cell_angle_alpha 131.88
_cell_angle_beta 131.88
_cell_angle_gamma 70.42
loop_
_space_group_symop_operation_xyz
'x,y,z'
loop_
_atom_site_label
_atom_site_type_symbol
_atom_site_fract_x
_atom_site_fract_y
_atom_site_fract_z
Ag1 Ag 0.0000 0.0000 0.0000
Ag2 Ag 0.7500 0.2500 0.5000
Ir1 Ir 0.5000 0.5000 0.0000
Br1 Br 0.2500 0.7500 0.5000
```

## Properties
Polymorph energy (0 for the lowest one)   357 meV/atom
Raw formation energy   0.80 eV per atom

---

A relaxed Pm4GaSi3 crystal. Source: the Alexandria database, functional PBE.

Structure (CIF):
```
data_Pm4GaSi3
_space_group_name_H-M_alt 'P 1'
_space_group_IT_number 1
_cell_length_a 3.9773
_cell_length_b 4.4233
_cell_length_c 11.0037
_cell_angle_alpha 90.00
_cell_angle_beta 90.00
_cell_angle_gamma 90.00
loop_
_space_group_symop_operation_xyz
'x,y,z'
loop_
_atom_site_label
_atom_site_type_symbol
_atom_site_fract_x
_atom_site_fract_y
_atom_site_fract_z
Pm1 Pm 0.0000 0.0000 0.0000
Pm2 Pm 0.0000 0.5000 0.4954
Pm3 Pm 0.5000 0.0000 0.7150
Pm4 Pm 0.5000 0.5000 0.2169
Ga1 Ga 0.0000 0.5000 0.7854
Si1 Si 0.0000 0.0000 0.2845
Si2 Si 0.5000 0.0000 0.4270
Si3 Si 0.5000 0.5000 0.9317
```

## Properties
Raw formation energy   -0.75 eV per atom

---

A relaxed YTa3Bi crystal. Source: the Alexandria database, functional PBE.

Structure (CIF):
```
data_YTa3Bi
_space_group_name_H-M_alt 'P 1'
_space_group_IT_number 1
_cell_length_a 5.0266
_cell_length_b 5.0266
_cell_length_c 5.0266
_cell_angle_alpha 90.00
_cell_angle_beta 90.00
_cell_angle_gamma 90.00
loop_
_space_group_symop_operation_xyz
'x,y,z'
loop_
_atom_site_label
_atom_site_type_symbol
_atom_site_fract_x
_atom_site_fract_y
_atom_site_fract_z
Y1 Y 0.0000 0.0000 0.0000
Ta1 Ta 0.0000 0.0000 0.5000
Ta2 Ta 0.0000 0.5000 0.0000
Ta3 Ta 0.5000 0.0000 0.0000
Bi1 Bi 0.5000 0.5000 0.5000
```

## Properties
Polymorph energy (0 for the lowest one)   427 meV/atom

---

A relaxed HgRu2Pt crystal. Source: the Alexandria database, functional PBE.

Structure (CIF):
```
data_HgRu2Pt
_space_group_name_H-M_alt 'P 1'
_space_group_IT_number 1
_cell_length_a 2.8151
_cell_length_b 2.8151
_cell_length_c 8.1099
_cell_angle_alpha 90.00
_cell_angle_beta 90.00
_cell_angle_gamma 90.00
loop_
_space_group_symop_operation_xyz
'x,y,z'
loop_
_atom_site_label
_atom_site_type_symbol
_atom_site_fract_x
_atom_site_fract_y
_atom_site_fract_z
Hg1 Hg 0.0000 0.0000 0.0000
Ru1 Ru 0.0000 0.0000 0.5228
Ru2 Ru 0.5000 0.5000 0.7264
Pt1 Pt 0.5000 0.5000 0.2798
```

---

Number 1: theoretical density 8.177 g cm⁻³, calculated total energy -7.977 eV per atom. Number 2: theoretical density 1.715 g cm⁻³, calculated total energy -1.869 eV per atom. Number 3: theoretical density 8.224 g cm⁻³, calculated total energy -5.738 eV per atom. Number 4: theoretical density 6.548 g cm⁻³, calculated total energy -7.039 eV per atom. Number 5: theoretical density 10.974 g cm⁻³, calculated total energy -3.257 eV per atom. Number 6: theoretical density 6.296 g cm⁻³, calculated total energy -5.535 eV per atom. Number 7: theoretical density 10.992 g cm⁻³, calculated total energy -7.002 eV per atom. Number 8: theoretical density 15.446 g cm⁻³, calculated total energy -6.065 eV per atom.